Computed, not measured: KReNiO4 after structural relaxation at the GGA+U level of DFT.

Size of the total moment, μB per formula unit: 2.00
Final energy, eV/atom: -6.40
V, Å³/f.u.: 110.1
Crystal system: monoclinic

Geometry as CIF:
```
data_KReNiO4
_cell_length_a 3.947
_cell_length_b 6.480
_cell_length_c 8.784
_cell_angle_alpha 90.00
_cell_angle_beta 101.42
_cell_angle_gamma 90.00
_symmetry_space_group_name_H-M 'P 1 21/m 1'
_symmetry_Int_Tables_number 11
loop_
_symmetry_equiv_pos_as_xyz
'x,y,z'
'-x,-y,-z'
'-x,y+1/2,-z'
'x,-y+1/2,z'
loop_
_atom_site_label
_atom_site_fract_x
_atom_site_fract_y
_atom_site_fract_z
K1 0.240 0.250 0.123
Re1 0.369 0.250 0.709
Ni1 0.104 0.750 0.562
O1 0.175 0.503 0.717
O2 0.339 0.750 0.106
O3 0.440 0.250 0.509
```